The following is a DFT calculation (PBE-GGA) of InAsS2N after structural relaxation.

Properties
- DOS(E_F) (states/eV/cell) = 2.994
- raw formation energy (eV per atom) = 0.579
- M_tot (μB/f.u.) = 0.0
- symmetry = P4/mmm
- E (eV/atom) = -4.21

Unit cell a=4.9321 b=4.9321 c=3.7061 alpha=90.00 beta=90.00 gamma=90.00
Positions (direct):
As1 0.0000 0.0000 0.0000
N1 0.0000 0.0000 0.5000
S1 0.0000 0.5000 0.0000
S2 0.5000 0.0000 0.0000
In1 0.5000 0.5000 0.5000

=====

The following is a DFT calculation (PBE-GGA) of InAsS2N after structural relaxation.

Properties
- DOS(E_F) (states/eV/cell) = 2.886
- raw formation energy (eV per atom) = 1.096
- M_tot (μB/f.u.) = 1.7
- symmetry = P4/mmm
- E (eV/atom) = -3.70

Unit cell a=5.1116 b=5.1116 c=4.1113 alpha=90.00 beta=90.00 gamma=90.00
Last column: magnetic moment on the atom in μB.
Positions (direct):
As1 0.5000 0.5000 0.5000  -0.04
N1 0.0000 0.0000 0.5000  1.08
S1 0.0000 0.5000 0.0000  0.09
S2 0.5000 0.0000 0.0000  0.09
In1 0.0000 0.0000 0.0000  -0.01

=====

The following is a DFT calculation (PBE-GGA) of ScIn2AsN after structural relaxation.

Properties
- DOS(E_F) (states/eV/cell) = 2.805
- raw formation energy (eV per atom) = -0.140
- M_tot (μB/f.u.) = 0.0
- symmetry = P4/mmm
- E (eV/atom) = -5.10

Unit cell a=4.8658 b=4.2599 c=4.8658 alpha=90.00 beta=90.00 gamma=90.00
Positions (direct):
Sc1 0.0000 0.5000 0.0000
As1 0.5000 0.5000 0.5000
N1 0.0000 0.0000 0.0000
In1 0.0000 0.0000 0.5000
In2 0.5000 0.0000 0.0000

=====

The following is a DFT calculation (PBE-GGA) of InAsSe2N after structural relaxation.

Properties
- DOS(E_F) (states/eV/cell) = 3.100
- raw formation energy (eV per atom) = 0.567
- M_tot (μB/f.u.) = 0.0
- symmetry = P4/mmm
- E (eV/atom) = -3.97

Unit cell a=5.2366 b=5.2366 c=3.7313 alpha=90.00 beta=90.00 gamma=90.00
Positions (direct):
As1 0.0000 0.0000 0.0000
N1 0.0000 0.0000 0.5000
Se1 0.0000 0.5000 0.0000
Se2 0.5000 0.0000 0.0000
In1 0.5000 0.5000 0.5000

=====

The following is a DFT calculation (PBE-GGA) of InAsSe2N after structural relaxation.

Properties
- DOS(E_F) (states/eV/cell) = 7.986
- raw formation energy (eV per atom) = 1.116
- M_tot (μB/f.u.) = 0.0
- symmetry = P4/mmm
- E (eV/atom) = -3.42

Unit cell a=5.3184 b=5.3184 c=4.1309 alpha=90.00 beta=90.00 gamma=90.00
Positions (direct):
As1 0.5000 0.5000 0.5000
N1 0.0000 0.0000 0.5000
Se1 0.0000 0.5000 0.0000
Se2 0.5000 0.0000 0.0000
In1 0.0000 0.0000 0.0000

=====

The following is a DFT calculation (PBE-GGA) of InAsSe2N after structural relaxation.

Properties
- DOS(E_F) (states/eV/cell) = 10.775
- raw formation energy (eV per atom) = 1.943
- M_tot (μB/f.u.) = 0.0
- symmetry = P4/mmm
- E (eV/atom) = -2.59

Unit cell a=5.2561 b=5.2561 c=5.3714 alpha=90.00 beta=90.00 gamma=90.00
Last column: magnetic moment on the atom in μB.
Positions (direct):
As1 0.0000 0.0000 0.5000  0.00
N1 0.5000 0.5000 0.5000  -0.07
Se1 0.0000 0.5000 0.0000  0.00
Se2 0.5000 0.0000 0.0000  0.00
In1 0.0000 0.0000 0.0000  0.00